No. 1
# BeSn2F PBE relaxed
# - total energy (eV/atom) = -3.785
# - polymorph energy (0 for the lowest one) (meV per atom) = 0
# - energy relative to the elements, uncorrected (meV/atom) = -385
data_BeSn2F
_chemical_formula_sum 'Be1 Sn2 F1'
_cell_length_a 4.582
_cell_length_b 4.582
_cell_length_c 4.582
_cell_angle_alpha 60.00
_cell_angle_beta 60.00
_cell_angle_gamma 60.00
_symmetry_space_group_name_H-M 'P 1'
_symmetry_Int_Tables_number 1
loop_
_symmetry_equiv_pos_as_xyz
'x,y,z'
loop_
_atom_site_label
_atom_site_fract_x
_atom_site_fract_y
_atom_site_fract_z
Sn1 0.250 0.250 0.250
Be1 0.000 0.000 0.000
F1 0.500 0.500 0.500
Sn2 0.750 0.750 0.750



No. 2
# ZrSiHg PBE relaxed
# - total energy (eV/atom) = -4.735
# - polymorph energy (0 for the lowest one) (meV per atom) = 138
# - energy relative to the elements, uncorrected (meV/atom) = 23
data_ZrSiHg
_chemical_formula_sum 'Zr1 Si1 Hg1'
_cell_length_a 4.467
_cell_length_b 4.467
_cell_length_c 4.467
_cell_angle_alpha 60.00
_cell_angle_beta 60.00
_cell_angle_gamma 60.00
_symmetry_space_group_name_H-M 'P 1'
_symmetry_Int_Tables_number 1
loop_
_symmetry_equiv_pos_as_xyz
'x,y,z'
loop_
_atom_site_label
_atom_site_fract_x
_atom_site_fract_y
_atom_site_fract_z
Zr1 0.000 0.000 0.000
Hg1 0.500 0.500 0.500
Si1 0.750 0.750 0.750



No. 3
# CaMgZrIr2 PBE relaxed
# - total energy (eV/atom) = -5.217
data_CaMgZrIr2
_chemical_formula_sum 'Ca1 Mg1 Zr1 Ir2'
_cell_length_a 4.683
_cell_length_b 4.655
_cell_length_c 4.683
_cell_angle_alpha 90.00
_cell_angle_beta 90.00
_cell_angle_gamma 90.00
_symmetry_space_group_name_H-M 'P 1'
_symmetry_Int_Tables_number 1
loop_
_symmetry_equiv_pos_as_xyz
'x,y,z'
loop_
_atom_site_label
_atom_site_fract_x
_atom_site_fract_y
_atom_site_fract_z
Zr1 0.500 0.500 0.500
Ca1 0.000 0.500 0.000
Ir1 0.000 0.000 0.500
Ir2 0.500 0.000 0.000
Mg1 0.000 0.000 0.000



No. 4
# YTi2GeAs PBE relaxed
# - total energy (eV/atom) = -4.960
data_YTi2GeAs
_chemical_formula_sum 'Y1 Ti2 Ge1 As1'
_cell_length_a 4.907
_cell_length_b 5.197
_cell_length_c 4.907
_cell_angle_alpha 90.00
_cell_angle_beta 90.00
_cell_angle_gamma 90.00
_symmetry_space_group_name_H-M 'P 1'
_symmetry_Int_Tables_number 1
loop_
_symmetry_equiv_pos_as_xyz
'x,y,z'
loop_
_atom_site_label
_atom_site_fract_x
_atom_site_fract_y
_atom_site_fract_z
Y1 0.000 0.000 0.000
Ge1 0.000 0.500 0.000
Ti1 0.000 0.000 0.500
As1 0.500 0.500 0.500
Ti2 0.500 0.000 0.000



No. 5
# PaTlPb2O5 PBE relaxed
# - total energy (eV/atom) = -6.812
# - energy relative to the elements, uncorrected (meV/atom) = -1915
data_PaTlPb2O5
_chemical_formula_sum 'Pa1 Tl1 Pb2 O5'
_cell_length_a 4.418
_cell_length_b 6.346
_cell_length_c 7.227
_cell_angle_alpha 116.04
_cell_angle_beta 107.80
_cell_angle_gamma 90.00
_symmetry_space_group_name_H-M 'P 1'
_symmetry_Int_Tables_number 1
loop_
_symmetry_equiv_pos_as_xyz
'x,y,z'
loop_
_atom_site_label
_atom_site_fract_x
_atom_site_fract_y
_atom_site_fract_z
Pb1 0.235 0.235 0.471
Tl1 0.000 0.500 0.000
O1 0.632 0.899 0.264
Pb2 0.765 0.765 0.529
O2 0.000 0.000 0.000
O3 0.368 0.635 0.736
Pa1 0.500 0.000 0.000
O4 0.368 0.101 0.736
O5 0.632 0.365 0.264



No. 6
# As2RhSeBr PBE relaxed
# - total energy (eV/atom) = -2.860
# - polymorph energy (0 for the lowest one) (meV per atom) = 1061
# - energy relative to the elements, uncorrected (meV/atom) = 1502
data_As2RhSeBr
_chemical_formula_sum 'As2 Rh1 Se1 Br1'
_cell_length_a 4.986
_cell_length_b 5.030
_cell_length_c 4.986
_cell_angle_alpha 90.00
_cell_angle_beta 90.00
_cell_angle_gamma 90.00
_symmetry_space_group_name_H-M 'P 1'
_symmetry_Int_Tables_number 1
loop_
_symmetry_equiv_pos_as_xyz
'x,y,z'
loop_
_atom_site_label
_atom_site_fract_x
_atom_site_fract_y
_atom_site_fract_z
Rh1 0.500 0.500 0.500
As1 0.500 0.000 0.000
As2 0.000 0.000 0.500
Se1 0.000 0.500 0.000
Br1 0.000 0.000 0.000



No. 7
# Be2CrCu2 PBE relaxed
# - total energy (eV/atom) = -4.961
# - polymorph energy (0 for the lowest one) (meV per atom) = 0
data_Be2CrCu2
_chemical_formula_sum 'Be4 Cr2 Cu4'
_cell_length_a 6.499
_cell_length_b 6.499
_cell_length_c 2.454
_cell_angle_alpha 90.00
_cell_angle_beta 90.00
_cell_angle_gamma 90.00
_symmetry_space_group_name_H-M 'P 1'
_symmetry_Int_Tables_number 1
loop_
_symmetry_equiv_pos_as_xyz
'x,y,z'
loop_
_atom_site_label
_atom_site_fract_x
_atom_site_fract_y
_atom_site_fract_z
Cr1 0.500 0.500 0.000
Cu1 0.331 0.169 0.500
Be1 0.126 0.374 0.000
Be2 0.626 0.126 0.000
Be3 0.374 0.874 0.000
Cu2 0.169 0.669 0.500
Cr2 0.000 0.000 0.000
Cu3 0.831 0.331 0.500
Cu4 0.669 0.831 0.500
Be4 0.874 0.626 0.000



No. 8
# Sm2HoTmP4 PBE relaxed
# - total energy (eV/atom) = -6.602
data_Sm2HoTmP4
_chemical_formula_sum 'Sm2 Ho1 Tm1 P4'
_cell_length_a 4.041
_cell_length_b 6.995
_cell_length_c 6.990
_cell_angle_alpha 109.48
_cell_angle_beta 90.00
_cell_angle_gamma 90.00
_symmetry_space_group_name_H-M 'P 1'
_symmetry_Int_Tables_number 1
loop_
_symmetry_equiv_pos_as_xyz
'x,y,z'
loop_
_atom_site_label
_atom_site_fract_x
_atom_site_fract_y
_atom_site_fract_z
P1 0.500 0.752 0.758
Sm1 0.500 0.000 0.500
Sm2 0.000 0.500 0.500
P2 0.500 0.248 0.242
P3 0.000 0.746 0.241
Ho1 0.000 0.000 0.000
Tm1 0.500 0.500 0.000
P4 0.000 0.254 0.759



No. 9
# VGe2Ru PBE relaxed
# - total energy (eV/atom) = -7.029
# - polymorph energy (0 for the lowest one) (meV per atom) = 17
data_VGe2Ru
_chemical_formula_sum 'V1 Ge2 Ru1'
_cell_length_a 2.987
_cell_length_b 4.361
_cell_length_c 4.361
_cell_angle_alpha 90.00
_cell_angle_beta 90.00
_cell_angle_gamma 90.00
_symmetry_space_group_name_H-M 'P 1'
_symmetry_Int_Tables_number 1
loop_
_symmetry_equiv_pos_as_xyz
'x,y,z'
loop_
_atom_site_label
_atom_site_fract_x
_atom_site_fract_y
_atom_site_fract_z
Ge1 0.000 0.000 0.500
Ge2 0.000 0.500 0.000
Ru1 0.500 0.500 0.500
V1 0.500 0.000 0.000



No. 10
# TmGaPd2 PBE relaxed
# - total energy (eV/atom) = -5.232
data_TmGaPd2
_chemical_formula_sum 'Tm1 Ga1 Pd2'
_cell_length_a 3.372
_cell_length_b 3.372
_cell_length_c 6.289
_cell_angle_alpha 90.00
_cell_angle_beta 90.00
_cell_angle_gamma 90.00
_symmetry_space_group_name_H-M 'P 1'
_symmetry_Int_Tables_number 1
loop_
_symmetry_equiv_pos_as_xyz
'x,y,z'
loop_
_atom_site_label
_atom_site_fract_x
_atom_site_fract_y
_atom_site_fract_z
Pd1 0.000 0.000 0.225
Tm1 0.500 0.500 0.500
Ga1 0.500 0.500 0.000
Pd2 0.000 0.000 0.775



No. 11
# Nd5ErTm5 PBE relaxed
# - total energy (eV/atom) = -4.347
data_Nd5ErTm5
_chemical_formula_sum 'Nd5 Er1 Tm5'
_cell_length_a 5.944
_cell_length_b 9.900
_cell_length_c 7.038
_cell_angle_alpha 110.73
_cell_angle_beta 90.00
_cell_angle_gamma 107.47
_symmetry_space_group_name_H-M 'P 1'
_symmetry_Int_Tables_number 1
loop_
_symmetry_equiv_pos_as_xyz
'x,y,z'
loop_
_atom_site_label
_atom_site_fract_x
_atom_site_fract_y
_atom_site_fract_z
Nd1 0.500 0.000 0.000
Nd2 0.824 0.647 0.068
Tm1 0.379 0.758 0.378
Tm2 0.000 0.000 0.500
Tm3 0.332 0.663 0.831
Nd3 0.176 0.352 0.421
Er1 0.000 0.000 0.000
Nd4 0.824 0.648 0.579
Nd5 0.176 0.353 0.932
Tm4 0.621 0.242 0.622
Tm5 0.668 0.337 0.169



No. 12
# Er2Mg3Pb PBE relaxed
# - total energy (eV/atom) = -3.135
data_Er2Mg3Pb
_chemical_formula_sum 'Er4 Mg6 Pb2'
_cell_length_a 6.150
_cell_length_b 6.150
_cell_length_c 9.433
_cell_angle_alpha 101.77
_cell_angle_beta 101.77
_cell_angle_gamma 111.96
_symmetry_space_group_name_H-M 'P 1'
_symmetry_Int_Tables_number 1
loop_
_symmetry_equiv_pos_as_xyz
'x,y,z'
loop_
_atom_site_label
_atom_site_fract_x
_atom_site_fract_y
_atom_site_fract_z
Mg1 0.834 0.330 0.164
Er1 0.250 0.750 0.500
Mg2 0.670 0.166 0.836
Mg3 0.166 0.670 0.836
Er2 0.250 0.250 0.000
Mg4 0.330 0.834 0.164
Pb1 0.666 0.666 0.333
Mg5 0.836 0.836 0.671
Pb2 0.334 0.334 0.667
Er3 0.750 0.250 0.500
Mg6 0.164 0.164 0.329
Er4 0.750 0.750 0.000



| no. | magnetic moment (μB/f.u.) |
| --- | --- |
| 1 | 0.00 |
| 2 | 0.00 |
| 3 | 0.00 |
| 4 | 0.00 |
| 5 | 0.00 |
| 6 | 0.57 |
| 7 | 1.49 |
| 8 | 0.00 |
| 9 | 0.00 |
| 10 | 0.00 |
| 11 | 0.50 |
| 12 | 0.00 |